LiHoB4 | PBE-GGA | relaxed

Energy relative to the lowest polymorph listed for this composition, kJ/mol of atoms: 4.6
E, eV per atom: -5.758
Magnetic moment, μB per formula unit: 0.00

```
LiHoB4
1.0
3.1893 0.0000 0.0000
-1.5946 2.7620 0.0000
0.0000 0.0000 6.6974
Li Ho B
1 1 4
Direct
0.0000 0.0000 0.0000
0.0000 0.0000 0.5000
0.3333 0.6667 0.2206
0.3333 0.6667 0.7794
0.6667 0.3333 0.2206
0.6667 0.3333 0.7794
```